Compound: NaGdInAg
Source: Alexandria
Functional: PBE-GGA
Structure: relaxed

Unit cell a=5.201 b=5.201 c=5.201 alpha=60.00 beta=60.00 gamma=60.00
Last column: magnetic moment on the atom in μB.
Element x y z (fractional)
In (0.750, 0.750, 0.750)  0.02
Ag (0.250, 0.250, 0.250)  0.00
Na (0.500, 0.500, 0.500)  0.00
Gd (0.000, 0.000, 0.000)  7.07

Values from the calculation:
The total energy is -5.425 eV per atom. The density of states at the Fermi level comes out at 2.60 states/eV/cell.